A geometry-optimized La6InBi structure, computed with PBE.

abc: 5.0738 5.0738 10.1175
angles: 90.00 90.00 90.00
Last column: nearest neighbours and their distance in Å.
Atoms (fractional coordinates):
La1 0.0000 0.0000 0.0000  8 La 3.58, 4 In 3.59
La2 0.0000 0.0000 0.5000  8 La 3.58, 4 Bi 3.59
La3 0.0000 0.5000 0.2497  8 La 3.58-3.59, 2 In 3.58, 2 Bi 3.58
La4 0.0000 0.5000 0.7503  8 La 3.58-3.59, 2 In 3.58, 2 Bi 3.58
La5 0.5000 0.0000 0.2497  8 La 3.58-3.59, 2 In 3.58, 2 Bi 3.58
La6 0.5000 0.0000 0.7503  8 La 3.58-3.59, 2 In 3.58, 2 Bi 3.58
In1 0.5000 0.5000 0.0000  12 La 3.58-3.59
Bi1 0.5000 0.5000 0.5000  12 La 3.58-3.59

Its magnetization is 0.0 μB per formula unit. As for the formation energy: -3.29 eV per formula unit. Its density is 7.4 g/cm3.



A geometry-optimized La10In3Bi3 structure, computed with PBE.

abc: 9.6612 9.6612 6.8499
angles: 90.00 90.00 120.00
Last column: nearest neighbours and their distance in Å.
Atoms (fractional coordinates):
La1 0.0000 0.2451 0.0000  3 In 3.32-3.50, 2 Bi 3.69
La2 0.0000 0.7553 0.5000  3 Bi 3.28-3.55
La3 0.2451 0.0000 0.0000  3 In 3.32-3.50, 2 Bi 3.69
La4 0.2447 0.2447 0.5000  3 Bi 3.28-3.55
La5 0.3333 0.6667 0.2601  2 La 3.29-3.56, 3 Bi 3.42, 3 In 3.47
La6 0.3333 0.6667 0.7399  2 La 3.29-3.56, 3 Bi 3.42, 3 In 3.47
La7 0.6667 0.3333 0.2601  2 La 3.29-3.56, 3 Bi 3.42, 3 In 3.47
La8 0.6667 0.3333 0.7399  2 La 3.29-3.56, 3 Bi 3.42, 3 In 3.47
La9 0.7553 0.0000 0.5000  3 Bi 3.28-3.55
La10 0.7549 0.7549 0.0000  3 In 3.32-3.50, 2 Bi 3.69
In1 0.0000 0.6073 0.0000  9 La 3.32-3.71
In2 0.3927 0.3927 0.0000  9 La 3.32-3.71
In3 0.6073 0.0000 0.0000  9 La 3.32-3.71
Bi1 0.0000 0.3874 0.5000  7 La 3.28-3.55
Bi2 0.3874 0.0000 0.5000  7 La 3.28-3.55
Bi3 0.6126 0.6126 0.5000  7 La 3.28-3.55

Its magnetization is 0.0 μB per formula unit. As for the formation energy: -9.43 eV per formula unit. Its density is 7.1 g/cm3.



A geometry-optimized La8In2Bi structure, computed with PBE.

abc: 8.9110 8.9110 5.8811
angles: 101.32 101.32 118.59
Last column: nearest neighbours and their distance in Å.
Atoms (fractional coordinates):
La1 0.0820 0.2984 0.5958  2 La 3.20-3.32, 2 In 3.34-3.46
La2 0.2237 0.7763 0.0000  2 In 3.21, 1 Bi 3.43
La3 0.2984 0.0820 0.5958  2 La 3.20-3.32, 2 In 3.34-3.46
La4 0.4032 0.4032 0.2029  2 La 3.25-3.47, 2 In 3.36, 1 Bi 3.39
La5 0.5968 0.5968 0.7971  2 La 3.25-3.47, 2 In 3.36, 1 Bi 3.39
La6 0.7016 0.9180 0.4042  2 La 3.20-3.32, 2 In 3.34-3.46
La7 0.7763 0.2237 0.0000  2 In 3.21, 1 Bi 3.43
La8 0.9180 0.7016 0.4042  2 La 3.20-3.32, 2 In 3.34-3.46
In1 0.3081 0.6919 0.5000  8 La 3.21-3.46
In2 0.6919 0.3081 0.5000  8 La 3.21-3.46
Bi1 0.0000 0.0000 0.0000  8 La 3.39-3.66

Its magnetization is 0.0 μB per formula unit. As for the formation energy: -3.18 eV per formula unit. Its density is 6.8 g/cm3.



A geometry-optimized La2InBi structure, computed with PBE.

abc: 4.1881 4.1881 7.2442
angles: 90.00 90.00 90.00
Last column: nearest neighbours and their distance in Å.
Atoms (fractional coordinates):
La1 0.0000 0.0000 0.2442  4 Bi 3.45, 4 In 3.49, 2 La 3.54-3.71
La2 0.0000 0.0000 0.7558  4 Bi 3.45, 4 In 3.49, 2 La 3.54-3.71
In1 0.5000 0.5000 0.5000  8 La 3.49, 2 Bi 3.62
Bi1 0.5000 0.5000 0.0000  8 La 3.45, 2 In 3.62

Its magnetization is 0.0 μB per formula unit. As for the formation energy: -2.76 eV per formula unit. Its density is 7.9 g/cm3.



A geometry-optimized La5In2Bi structure, computed with PBE.

abc: 9.2282 9.2282 9.2282
angles: 122.53 122.53 85.67
Last column: nearest neighbours and their distance in Å.
Atoms (fractional coordinates):
La1 0.0000 0.0000 0.0000  2 Bi 3.38, 4 In 3.48
La2 0.0136 0.5136 0.8319  3 In 3.28-3.36, 1 La 3.38, 2 Bi 3.56
La3 0.1817 0.0136 0.5000  3 In 3.28-3.36, 1 La 3.38, 2 Bi 3.56
La4 0.3183 0.8183 0.8319  3 In 3.28-3.36, 1 La 3.38, 2 Bi 3.56
La5 0.4864 0.3183 0.5000  3 In 3.28-3.36, 1 La 3.38, 2 Bi 3.56
La6 0.5000 0.5000 0.0000  2 Bi 3.38, 4 In 3.48
La7 0.5136 0.6817 0.5000  3 In 3.28-3.36, 1 La 3.38, 2 Bi 3.56
La8 0.6817 0.1817 0.1681  3 In 3.28-3.36, 1 La 3.38, 2 Bi 3.56
La9 0.8183 0.9864 0.5000  3 In 3.28-3.36, 1 La 3.38, 2 Bi 3.56
La10 0.9864 0.4864 0.1681  3 In 3.28-3.36, 1 La 3.38, 2 Bi 3.56
In1 0.1305 0.3695 0.5000  1 In 3.28, 8 La 3.28-3.48
In2 0.3695 0.8695 0.2390  1 In 3.28, 8 La 3.28-3.48
In3 0.6305 0.1305 0.7610  1 In 3.28, 8 La 3.28-3.48
In4 0.8695 0.6305 0.5000  1 In 3.28, 8 La 3.28-3.48
Bi1 0.2500 0.2500 0.0000  10 La 3.38-3.56
Bi2 0.7500 0.7500 0.0000  10 La 3.38-3.56

Its magnetization is 0.0 μB per formula unit. As for the formation energy: -4.25 eV per formula unit. Its density is 7.1 g/cm3.



A geometry-optimized La12In3Bi structure, computed with PBE.

abc: 5.0766 5.0766 20.2084
angles: 90.00 90.00 90.00
Last column: nearest neighbours and their distance in Å.
Atoms (fractional coordinates):
La1 0.0000 0.0000 0.0000  8 La 3.57, 4 Bi 3.59
La2 0.0000 0.0000 0.2497  8 La 3.57-3.59, 4 In 3.59
La3 0.0000 0.0000 0.5000  4 In 3.59, 8 La 3.59
La4 0.0000 0.0000 0.7503  8 La 3.57-3.59, 4 In 3.59
La5 0.0000 0.5000 0.1242  2 Bi 3.57, 8 La 3.57-3.59, 2 In 3.60
La6 0.0000 0.5000 0.3742  4 In 3.57-3.59, 8 La 3.57-3.59
La7 0.0000 0.5000 0.6258  4 In 3.57-3.59, 8 La 3.57-3.59
La8 0.0000 0.5000 0.8758  8 La 3.57-3.59, 2 Bi 3.57, 2 In 3.60
La9 0.5000 0.0000 0.1242  2 Bi 3.57, 8 La 3.57-3.59, 2 In 3.60
La10 0.5000 0.0000 0.3742  4 In 3.57-3.59, 8 La 3.57-3.59
La11 0.5000 0.0000 0.6258  4 In 3.57-3.59, 8 La 3.57-3.59
La12 0.5000 0.0000 0.8758  8 La 3.57-3.59, 2 Bi 3.57, 2 In 3.60
In1 0.5000 0.5000 0.2502  12 La 3.57-3.60
In2 0.5000 0.5000 0.5000  12 La 3.59
In3 0.5000 0.5000 0.7498  12 La 3.57-3.60
Bi1 0.5000 0.5000 0.0000  12 La 3.57-3.59

Its magnetization is 0.0 μB per formula unit. As for the formation energy: -5.68 eV per formula unit. Its density is 7.1 g/cm3.



A geometry-optimized LaIn2Bi5 structure, computed with PBE.

abc: 6.8902 6.8902 6.8902
angles: 105.53 105.53 117.67
Last column: nearest neighbours and their distance in Å.
Atoms (fractional coordinates):
La1 0.0000 0.0000 0.0000  10 Bi 3.45-3.57
In1 0.0000 0.5000 0.5000  8 Bi 3.45, 2 In 3.57
In2 0.5000 0.0000 0.5000  8 Bi 3.45, 2 In 3.57
Bi1 0.0000 0.0000 0.5000  4 Bi 3.45-3.57, 2 La 3.45, 4 In 3.45
Bi2 0.0000 0.5000 0.0000  4 Bi 3.45-3.57, 4 In 3.45, 2 La 3.45
Bi3 0.5000 0.0000 0.0000  4 Bi 3.45-3.57, 4 In 3.45, 2 La 3.45
Bi4 0.5000 0.5000 0.0000  8 Bi 3.45, 2 La 3.57
Bi5 0.5000 0.5000 0.5000  4 Bi 3.45-3.57, 2 La 3.45, 4 In 3.45

Its magnetization is 0.0 μB per formula unit. As for the formation energy: -1.76 eV per formula unit. Its density is 9.5 g/cm3.



A geometry-optimized LaInBi2 structure, computed with PBE.

abc: 7.1438 7.1438 7.1438
angles: 102.80 102.80 123.83
Last column: nearest neighbours and their distance in Å.
Atoms (fractional coordinates):
La1 0.0000 0.0000 0.0000  4 Bi 3.35, 2 In 3.36
La2 0.7500 0.2500 0.5000  4 Bi 3.35, 2 In 3.36
In1 0.2500 0.7500 0.5000  4 Bi 3.18, 2 La 3.36
In2 0.5000 0.5000 0.0000  4 Bi 3.18, 2 La 3.36
Bi1 0.1386 0.6250 0.0136  2 In 3.18, 2 La 3.35, 2 Bi 3.37
Bi2 0.3750 0.3886 0.5136  2 In 3.18, 2 La 3.35, 2 Bi 3.37
Bi3 0.6114 0.1250 0.9864  2 In 3.18, 2 La 3.35, 2 Bi 3.37
Bi4 0.8750 0.8614 0.4864  2 In 3.18, 2 La 3.35, 2 Bi 3.37

Its magnetization is 0.0 μB per formula unit. As for the formation energy: -1.33 eV per formula unit. Its density is 8.3 g/cm3.



A geometry-optimized LaInBi2 structure, computed with PBE.

abc: 7.1017 7.1017 7.1017
angles: 42.03 42.03 42.03
Last column: nearest neighbours and their distance in Å.
Atoms (fractional coordinates):
La1 0.0000 0.0000 0.0000  6 Bi 3.35-3.37, 1 In 3.38
In1 0.1744 0.1744 0.1744  6 Bi 3.27-3.44, 1 La 3.38
Bi1 0.4160 0.4160 0.4160  1 Bi 3.22, 3 La 3.35, 3 In 3.44
Bi2 0.5819 0.5819 0.5819  1 Bi 3.22, 3 In 3.27, 3 La 3.37

Its magnetization is 0.0 μB per formula unit. As for the formation energy: -1.24 eV per formula unit. Its density is 7.7 g/cm3.



A geometry-optimized LaIn3Bi2 structure, computed with PBE.

abc: 6.7334 6.7334 9.1248
angles: 90.85 90.85 119.89
Last column: nearest neighbours and their distance in Å.
Atoms (fractional coordinates):
La1 0.1126 0.8874 0.7500  6 In 3.37-3.66, 6 Bi 3.57-3.68
La2 0.8874 0.1126 0.2500  6 In 3.37-3.66, 6 Bi 3.57-3.68
In1 0.1267 0.3822 0.9316  3 Bi 3.08-3.33, 2 In 3.11-3.30, 1 La 3.42
In2 0.3822 0.1267 0.4316  3 Bi 3.08-3.33, 2 In 3.11-3.30, 1 La 3.42
In3 0.3849 0.6151 0.2500  4 In 3.30-3.70, 2 La 3.37, 4 Bi 3.53-3.56
In4 0.6151 0.3849 0.7500  4 In 3.30-3.70, 2 La 3.37, 4 Bi 3.53-3.56
In5 0.6178 0.8733 0.5684  3 Bi 3.08-3.33, 2 In 3.11-3.30, 1 La 3.42
In6 0.8733 0.6178 0.0684  3 Bi 3.08-3.33, 2 In 3.11-3.30, 1 La 3.42
Bi1 0.1365 0.3925 0.5940  3 In 3.08-3.33, 1 Bi 3.32
Bi2 0.3925 0.1365 0.0940  3 In 3.08-3.33, 1 Bi 3.32
Bi3 0.6075 0.8635 0.9060  3 In 3.08-3.33, 1 Bi 3.32
Bi4 0.8635 0.6075 0.4060  3 In 3.08-3.33, 1 Bi 3.32

Its magnetization is 0.0 μB per formula unit. As for the formation energy: -1.78 eV per formula unit. Its density is 8.3 g/cm3.



A geometry-optimized La2In2Bi structure, computed with PBE.

abc: 8.1868 8.1868 4.7457
angles: 90.00 90.00 90.00
Last column: nearest neighbours and their distance in Å.
Atoms (fractional coordinates):
La1 0.1708 0.3292 0.0000  6 In 3.33-3.42
La2 0.3292 0.8292 0.0000  6 In 3.33-3.42
La3 0.6708 0.1708 0.0000  6 In 3.33-3.42
La4 0.8292 0.6708 0.0000  6 In 3.33-3.42
In1 0.1273 0.6273 0.5000  1 In 2.95, 2 Bi 3.22
In2 0.3727 0.1273 0.5000  1 In 2.95, 2 Bi 3.22
In3 0.6273 0.8727 0.5000  1 In 2.95, 2 Bi 3.22
In4 0.8727 0.3727 0.5000  1 In 2.95, 2 Bi 3.22
Bi1 0.0000 0.0000 0.5000  4 In 3.22
Bi2 0.5000 0.5000 0.5000  4 In 3.22

Its magnetization is 0.0 μB per formula unit. As for the formation energy: -2.75 eV per formula unit. Its density is 7.5 g/cm3.



A geometry-optimized LaInBi2 structure, computed with PBE.

abc: 4.3493 4.3493 6.7086
angles: 90.00 90.00 90.00
Last column: nearest neighbours and their distance in Å.
Atoms (fractional coordinates):
La1 0.0000 0.0000 0.0000  2 In 3.35, 8 Bi 3.48
In1 0.0000 0.0000 0.5000  2 La 3.35, 8 Bi 3.53
Bi1 0.5000 0.5000 0.2430  2 Bi 3.26-3.45, 4 La 3.48, 4 In 3.53
Bi2 0.5000 0.5000 0.7570  2 Bi 3.26-3.45, 4 La 3.48, 4 In 3.53

Its magnetization is 0.0 μB per formula unit. As for the formation energy: -1.95 eV per formula unit. Its density is 8.8 g/cm3.



Number 1: E -4.93 eV per atom. Number 2: E -4.91 eV per atom. Number 3: E -4.72 eV per atom. Number 4: E -4.81 eV per atom. Number 5: E -4.78 eV per atom. Number 6: E -4.81 eV per atom. Number 7: E -3.95 eV per atom. Number 8: E -4.19 eV per atom. Number 9: E -4.17 eV per atom. Number 10: E -3.78 eV per atom. Number 11: E -4.39 eV per atom. Number 12: E -4.35 eV per atom.